An optimized crystal structure of Mg2PHW. Source: Alexandria via LeMat-Bulk, functional PBE-GGA.

abc: 5.243 2.990 5.243
angles: 90.00 90.00 90.00
Element x y z (fractional)
H 0.000 0.500 0.000
P 0.000 0.000 0.000
Mg 0.000 0.000 0.500
Mg 0.500 0.000 0.000
W 0.500 0.500 0.500

Summary:
- Calculated total energy: -4.20 eV per atom
- Space-group type: P4/mmm
- Total magnetic moment: 0.0 μB/f.u.

---

An optimized crystal structure of Mg2PaH6. Source: Alexandria via LeMat-Bulk, functional PBE-GGA.

abc: 5.375 5.375 5.375
angles: 60.00 60.00 60.00
Element x y z (fractional)
H 0.723 0.723 0.277
H 0.277 0.723 0.277
H 0.723 0.277 0.723
Mg 0.250 0.250 0.250
H 0.277 0.277 0.723
H 0.723 0.277 0.277
Mg 0.750 0.750 0.750
H 0.277 0.723 0.723
Pa 0.000 0.000 0.000

Summary:
- Calculated total energy: -3.24 eV per atom
- Space-group type: Fm-3m
- Total magnetic moment: 0.0 μB/f.u.

---

An optimized crystal structure of MgPaH2. Source: Alexandria via LeMat-Bulk, functional PBE-GGA.

abc: 3.286 3.286 6.080
angles: 74.32 74.32 60.00
Element x y z (fractional)
H 0.262 0.262 0.215
Mg 0.500 0.500 0.500
Pa 0.000 0.000 0.000
H 0.738 0.738 0.785

Summary:
- Calculated total energy: -4.57 eV per atom
- Space-group type: R-3m
- Total magnetic moment: 0.0 μB/f.u.

---

An optimized crystal structure of MgPa2H8. Source: Alexandria via LeMat-Bulk, functional PBE-GGA.

abc: 3.773 4.777 6.331
angles: 112.16 107.34 90.00
Element x y z (fractional)
Mg 0.500 0.000 0.000
Pa 0.171 0.671 0.342
H 0.193 0.193 0.387
H 0.807 0.807 0.613
H 0.651 0.394 0.301
H 0.000 0.747 0.000
H 0.651 0.907 0.301
H 0.000 0.253 0.000
H 0.349 0.606 0.699
H 0.349 0.093 0.699
Pa 0.829 0.329 0.658

Summary:
- Calculated total energy: -4.61 eV per atom
- Space-group type: Immm
- Total magnetic moment: 2.4 μB/f.u.

---

An optimized crystal structure of MgPa2H. Source: Alexandria via LeMat-Bulk, functional PBE-GGA.

abc: 3.124 3.124 9.844
angles: 80.87 80.87 60.00
Element x y z (fractional)
Pa 0.113 0.113 0.661
Pa 0.887 0.887 0.339
Mg 0.000 0.000 0.000
H 0.500 0.500 0.500

Summary:
- Calculated total energy: -5.85 eV per atom
- Space-group type: R-3m
- Total magnetic moment: 0.0 μB/f.u.

---

An optimized crystal structure of MgPaH. Source: Alexandria via LeMat-Bulk, functional PBE-GGA.

abc: 3.184 3.184 5.765
angles: 90.00 90.00 120.00
Element x y z (fractional)
Mg 0.000 0.000 0.923
H 0.333 0.667 0.659
Pa 0.667 0.333 0.418

Summary:
- Calculated total energy: -4.86 eV per atom
- Excess energy over the best structure of this formula in the dataset: 0.0 meV per atom
- Space-group type: P3m1
- Total magnetic moment: 0.0 μB/f.u.